No. 1
! PBE Ba2HgPb, optimized geometry; values from VASP
&SYSTEM
  ibrav = 0, nat = 4, ntyp = 3
/
ATOMIC_SPECIES
Ba 137.33 Ba.upf
Hg 200.59 Hg.upf
Pb 207.20 Pb.upf
ATOMIC_POSITIONS crystal
Ba 0.250 0.250 0.250
Ba 0.750 0.750 0.750
Hg 0.000 0.000 0.000
Pb 0.500 0.500 0.500
CELL_PARAMETERS angstrom
2.253 1.301 9.931
-2.253 1.301 9.931
0.000 -2.601 9.931
! N(E_F) in states/eV per cell: 5.42
! Calculated formation energy in eV per atom: -0.33

***

No. 2
! PBE BaHg2Pb2, optimized geometry; values from VASP
&SYSTEM
  ibrav = 0, nat = 10, ntyp = 3
/
ATOMIC_SPECIES
Ba 137.33 Ba.upf
Hg 200.59 Hg.upf
Pb 207.20 Pb.upf
ATOMIC_POSITIONS crystal
Ba 0.167 0.218 0.210
Ba 0.833 0.782 0.790
Hg 0.257 0.836 0.956
Hg 0.350 0.853 0.546
Hg 0.650 0.147 0.454
Hg 0.743 0.164 0.044
Pb 0.128 0.264 0.696
Pb 0.470 0.587 0.258
Pb 0.530 0.413 0.742
Pb 0.872 0.736 0.304
CELL_PARAMETERS angstrom
6.752 0.000 0.000
2.669 6.566 0.000
2.750 0.833 7.495
! N(E_F) in states/eV per cell: 4.12
! Calculated formation energy in eV per atom: -0.28

***

No. 3
! PBE Ba2Hg15Pb2, optimized geometry; values from VASP
&SYSTEM
  ibrav = 0, nat = 19, ntyp = 3
/
ATOMIC_SPECIES
Ba 137.33 Ba.upf
Hg 200.59 Hg.upf
Pb 207.20 Pb.upf
ATOMIC_POSITIONS crystal
Ba 0.185 0.185 0.185
Ba 0.815 0.815 0.815
Hg 0.000 0.500 0.500
Hg 0.109 0.109 0.663
Hg 0.109 0.663 0.109
Hg 0.204 0.500 0.796
Hg 0.204 0.796 0.500
Hg 0.337 0.891 0.891
Hg 0.500 0.000 0.500
Hg 0.500 0.204 0.796
Hg 0.500 0.500 0.000
Hg 0.500 0.796 0.204
Hg 0.663 0.109 0.109
Hg 0.796 0.204 0.500
Hg 0.796 0.500 0.204
Hg 0.891 0.337 0.891
Hg 0.891 0.891 0.337
Pb 0.401 0.401 0.401
Pb 0.599 0.599 0.599
CELL_PARAMETERS angstrom
5.107 2.948 6.115
-5.107 2.948 6.115
0.000 -5.897 6.115
! N(E_F) in states/eV per cell: 12.53
! Calculated formation energy in eV per atom: -0.17

***

| no. | electronic total energy (eV/atom) |
| --- | --- |
| 1 | -2.29 |
| 2 | -2.27 |
| 3 | -1.00 |